# 1
Here is an optimized crystal structure of Ca2LaPt from Alexandria via LeMat-Bulk. Energies are from GGA-PBEsol.

Structure (POSCAR):
```
Ca2LaPt
1.0
-4.884 0.936 -1.619
-1.926 -2.575 -4.124
-3.717 -3.616 0.678
Ca Pt La
2 1 1
direct
0.000 0.000 0.000
0.750 0.750 0.750
0.250 0.250 0.250
0.500 0.500 0.500
```

DOS at the Fermi energy, states/eV/cell: 3.20
Total moment, μB per cell: 0.000
Energy of formation, meV per atom: -280
Symmetry: No. 216


# 2
Here is an optimized crystal structure of NaCdF3 from Alexandria via LeMat-Bulk. Energies are from GGA-PBEsol.

Structure (POSCAR):
```
NaCdF3
1.0
5.748 0.000 0.000
2.874 4.978 0.000
2.874 1.659 5.016
Cd Na F
2 2 6
direct
0.002 0.002 0.994
0.502 0.502 0.494
0.790 0.790 0.630
0.290 0.290 0.130
0.705 0.114 0.796
0.114 0.385 0.796
0.885 0.614 0.296
0.385 0.705 0.796
0.205 0.885 0.296
0.614 0.205 0.296
```

Formation energy from raw total energies, eV per atom: -2.39
DOS at the Fermi energy, states/eV/cell: 0.00
Total moment, μB per cell: 0.000
Symmetry: No. 161


# 3
Here is an optimized crystal structure of MgAgSe2 from Alexandria via LeMat-Bulk. Energies are from GGA-PBEsol.

Structure (POSCAR):
```
MgAgSe2
1.0
-2.429 1.939 -3.640
-4.074 -2.015 -1.501
-4.186 2.177 0.806
Ag Se Mg
1 2 1
direct
0.500 0.500 0.500
0.000 0.000 0.000
0.750 0.750 0.750
0.250 0.250 0.250
```

Formation energy from raw total energies, eV per atom: -0.01
DOS at the Fermi energy, states/eV/cell: 2.26
Total moment, μB per cell: 0.000
Symmetry: No. 216